Material: La6Tb12Dy
Method: DFT, PBE-GGA
State: relaxed

Values from the calculation:
- E above lowest polymorph: 85 meV per atom
- Space-group type: R-3m (166)
- V: 664.0 Å³/cell
- Energy of formation from the pure elements: 0.214 eV/atom

Unit cell a=8.844 b=8.844 c=8.844 alpha=98.85 beta=98.85 gamma=98.85
Atoms (fractional coordinates):
La 0.906 0.345 0.906
La 0.906 0.906 0.345
La 0.345 0.906 0.906
La 0.094 0.094 0.655
La 0.094 0.655 0.094
La 0.655 0.094 0.094
Tb 0.755 0.245 0.500
Tb 0.355 0.081 0.355
Tb 0.355 0.355 0.081
Tb 0.919 0.645 0.645
Tb 0.645 0.645 0.919
Tb 0.645 0.919 0.645
Tb 0.500 0.755 0.245
Tb 0.245 0.500 0.755
Tb 0.245 0.755 0.500
Tb 0.500 0.245 0.755
Tb 0.755 0.500 0.245
Tb 0.081 0.355 0.355
Dy 0.000 0.000 0.000